Entry 1:
Ac3Mg4Pt4: optimized geometry, PBE.

Results
SG   No. 71
Calculated density   9.78 Mg/m³
E_form   -9.94 eV/f.u.

Cell lengths 8.916, 8.916, 8.916 Å; angles 152.69, 124.86, 62.61 degrees
Positions (direct):
Ac: 0.000 0.000 0.000
Ac: 0.383 0.883 0.500
Ac: 0.617 0.117 0.500
Mg: 0.012 0.323 0.689
Mg: 0.366 0.677 0.689
Mg: 0.634 0.323 0.311
Mg: 0.988 0.677 0.311
Pt: 0.229 0.229 0.000
Pt: 0.286 0.500 0.786
Pt: 0.714 0.500 0.214
Pt: 0.771 0.771 0.000



Entry 2:
AcMgPt4: optimized geometry, PBE.

Results
SG   No. 216
Calculated density   14.52 Mg/m³
E_form   -5.21 eV/f.u.

Cell lengths 5.505, 5.505, 5.505 Å; angles 60.00, 60.00, 60.00 degrees
Positions (direct):
Ac: 0.000 0.000 0.000
Mg: 0.750 0.750 0.750
Pt: 0.376 0.376 0.376
Pt: 0.376 0.376 0.872
Pt: 0.376 0.872 0.376
Pt: 0.872 0.376 0.376



Entry 3:
AcMgPt: optimized geometry, PBE.

Results
Energy relative to the lowest polymorph listed for this composition   229 meV/atom
SG   No. 70
Calculated density   9.06 Mg/m³
E_form   -1.97 eV/f.u.

Cell lengths 8.813, 7.609, 7.438 Å; angles 71.70, 55.05, 53.25 degrees
Positions (direct):
Ac: 0.000 0.000 0.000
Ac: 0.000 0.000 0.500
Ac: 0.000 0.500 0.000
Ac: 0.500 0.000 0.000
Mg: 0.250 0.250 0.500
Mg: 0.500 0.500 0.250
Mg: 0.500 0.500 0.750
Mg: 0.750 0.750 0.500
Pt: 0.191 0.559 0.191
Pt: 0.441 0.809 0.441
Pt: 0.559 0.191 0.559
Pt: 0.809 0.441 0.809



Entry 4:
AcMg2Pt9: optimized geometry, PBE.

Results
SG   No. 166
Calculated density   15.15 Mg/m³
E_form   -7.87 eV/f.u.

Cell lengths 9.264, 9.264, 9.264 Å; angles 34.09, 34.09, 34.09 degrees
Positions (direct):
Ac: 0.000 0.000 0.000
Mg: 0.147 0.147 0.147
Mg: 0.853 0.853 0.853
Pt: 0.082 0.589 0.589
Pt: 0.333 0.333 0.333
Pt: 0.411 0.411 0.918
Pt: 0.411 0.918 0.411
Pt: 0.500 0.500 0.500
Pt: 0.589 0.082 0.589
Pt: 0.589 0.589 0.082
Pt: 0.667 0.667 0.667
Pt: 0.918 0.411 0.411



Entry 5:
Ac4MgPt: optimized geometry, PBE.

Results
Energy relative to the lowest polymorph listed for this composition   311 meV/atom
SG   No. 109
Calculated density   7.04 Mg/m³
E_form   -0.83 eV/f.u.

Cell lengths 8.842, 8.842, 8.842 Å; angles 109.37, 109.37, 109.68 degrees
Positions (direct):
Ac: 0.132 0.446 0.686
Ac: 0.196 0.010 0.814
Ac: 0.196 0.382 0.186
Ac: 0.300 0.000 0.300
Ac: 0.700 0.000 0.700
Ac: 0.750 0.550 0.800
Ac: 0.750 0.950 0.200
Ac: 0.760 0.446 0.314
Mg: 0.227 0.727 0.500
Mg: 0.477 0.477 0.000
Pt: 0.721 0.221 0.500
Pt: 0.971 0.971 0.000



Entry 6:
Ac4Mg2Pt: optimized geometry, PBE.

Results
SG   No. 139
Calculated density   6.55 Mg/m³
E_form   -1.12 eV/f.u.

Cell lengths 9.554, 9.554, 9.554 Å; angles 144.55, 144.55, 51.01 degrees
Positions (direct):
Ac: 0.000 0.500 0.500
Ac: 0.179 0.179 0.000
Ac: 0.500 0.000 0.500
Ac: 0.821 0.821 0.000
Mg: 0.377 0.377 0.000
Mg: 0.623 0.623 0.000
Pt: 0.000 0.000 0.000



Entry 7:
Ac2MgPt2: optimized geometry, PBE.

Results
SG   No. 127
Calculated density   10.65 Mg/m³
E_form   -4.78 eV/f.u.

Cell lengths 8.018, 8.018, 4.211 Å; angles 90.00, 90.00, 90.00 degrees
Positions (direct):
Ac: 0.168 0.332 0.000
Ac: 0.332 0.832 0.000
Ac: 0.668 0.168 0.000
Ac: 0.832 0.668 0.000
Mg: 0.000 0.000 0.500
Mg: 0.500 0.500 0.500
Pt: 0.136 0.636 0.500
Pt: 0.364 0.136 0.500
Pt: 0.636 0.864 0.500
Pt: 0.864 0.364 0.500



Entry 8:
AcMg3Pt3: optimized geometry, PBE.

Results
SG   No. 223
Calculated density   8.35 Mg/m³
E_form   -2.52 eV/f.u.

Cell lengths 7.061, 7.061, 7.061 Å; angles 90.00, 90.00, 90.00 degrees
Positions (direct):
Ac: 0.000 0.000 0.000
Ac: 0.500 0.500 0.500
Mg: 0.000 0.250 0.500
Mg: 0.000 0.750 0.500
Mg: 0.250 0.500 0.000
Mg: 0.500 0.000 0.250
Mg: 0.500 0.000 0.750
Mg: 0.750 0.500 0.000
Pt: 0.000 0.500 0.250
Pt: 0.000 0.500 0.750
Pt: 0.250 0.000 0.500
Pt: 0.500 0.250 0.000
Pt: 0.500 0.750 0.000
Pt: 0.750 0.000 0.500



Entry 9:
Ac5Mg3Pt12: optimized geometry, PBE.

Results
SG   No. 230
Calculated density   11.00 Mg/m³
E_form   -7.87 eV/f.u.

Cell lengths 14.068, 14.068, 14.068 Å; angles 109.47, 109.47, 109.47 degrees
Positions (direct):
Ac: 0.000 0.000 0.000
Ac: 0.000 0.000 0.500
Ac: 0.000 0.500 0.000
Ac: 0.000 0.500 0.500
Ac: 0.125 0.750 0.875
Ac: 0.125 0.875 0.250
Ac: 0.250 0.125 0.875
Ac: 0.250 0.625 0.375
Ac: 0.375 0.250 0.625
Ac: 0.375 0.625 0.750
Ac: 0.500 0.000 0.000
Ac: 0.500 0.000 0.500
Ac: 0.500 0.500 0.000
Ac: 0.500 0.500 0.500
Ac: 0.625 0.375 0.250
Ac: 0.625 0.750 0.375
Ac: 0.750 0.375 0.625
Ac: 0.750 0.875 0.125
Ac: 0.875 0.125 0.750
Ac: 0.875 0.250 0.125
Mg: 0.125 0.250 0.375
Mg: 0.125 0.375 0.750
Mg: 0.250 0.375 0.125
Mg: 0.250 0.875 0.625
Mg: 0.375 0.125 0.250
Mg: 0.375 0.750 0.125
Mg: 0.625 0.250 0.875
Mg: 0.625 0.875 0.750
Mg: 0.750 0.125 0.375
Mg: 0.750 0.625 0.875
Mg: 0.875 0.625 0.250
Mg: 0.875 0.750 0.625
Pt: 0.061 0.646 0.405
Pt: 0.061 0.915 0.656
Pt: 0.085 0.241 0.146
Pt: 0.085 0.344 0.939
Pt: 0.095 0.741 0.656
Pt: 0.095 0.854 0.439
Pt: 0.146 0.085 0.241
Pt: 0.146 0.561 0.905
Pt: 0.156 0.241 0.595
Pt: 0.156 0.415 0.561
Pt: 0.241 0.146 0.085
Pt: 0.241 0.595 0.156
Pt: 0.259 0.344 0.905
Pt: 0.259 0.415 0.354
Pt: 0.344 0.905 0.259
Pt: 0.344 0.939 0.085
Pt: 0.354 0.259 0.415
Pt: 0.354 0.595 0.939
Pt: 0.405 0.061 0.646
Pt: 0.405 0.844 0.759
Pt: 0.415 0.354 0.259
Pt: 0.415 0.561 0.156
Pt: 0.439 0.095 0.854
Pt: 0.439 0.844 0.585
Pt: 0.561 0.156 0.415
Pt: 0.561 0.905 0.146
Pt: 0.585 0.439 0.844
Pt: 0.585 0.646 0.741
Pt: 0.595 0.156 0.241
Pt: 0.595 0.939 0.354
Pt: 0.646 0.405 0.061
Pt: 0.646 0.741 0.585
Pt: 0.656 0.061 0.915
Pt: 0.656 0.095 0.741
Pt: 0.741 0.585 0.646
Pt: 0.741 0.656 0.095
Pt: 0.759 0.405 0.844
Pt: 0.759 0.854 0.915
Pt: 0.844 0.585 0.439
Pt: 0.844 0.759 0.405
Pt: 0.854 0.439 0.095
Pt: 0.854 0.915 0.759
Pt: 0.905 0.146 0.561
Pt: 0.905 0.259 0.344
Pt: 0.915 0.656 0.061
Pt: 0.915 0.759 0.854
Pt: 0.939 0.085 0.344
Pt: 0.939 0.354 0.595



Entry 10:
AcMgPt: optimized geometry, PBE.

Results
Energy relative to the lowest polymorph listed for this composition   0 meV/atom
SG   No. 62
Calculated density   9.75 Mg/m³
E_form   -2.66 eV/f.u.

Cell lengths 7.626, 4.394, 9.073 Å; angles 90.00, 90.00, 90.00 degrees
Positions (direct):
Ac: 0.040 0.250 0.182
Ac: 0.460 0.750 0.682
Ac: 0.540 0.250 0.318
Ac: 0.960 0.750 0.818
Mg: 0.130 0.250 0.556
Mg: 0.370 0.750 0.056
Mg: 0.630 0.250 0.944
Mg: 0.870 0.750 0.444
Pt: 0.241 0.750 0.380
Pt: 0.259 0.250 0.880
Pt: 0.741 0.750 0.120
Pt: 0.759 0.250 0.620



Entry 11:
Ac4MgPt: optimized geometry, PBE.

Results
Energy relative to the lowest polymorph listed for this composition   0 meV/atom
SG   No. 216
Calculated density   8.65 Mg/m³
E_form   -2.70 eV/f.u.

Cell lengths 10.700, 10.700, 10.700 Å; angles 60.00, 60.00, 60.00 degrees
Positions (direct):
Ac: 0.186 0.186 0.814
Ac: 0.186 0.814 0.186
Ac: 0.186 0.814 0.814
Ac: 0.403 0.403 0.403
Ac: 0.403 0.403 0.791
Ac: 0.403 0.791 0.403
Ac: 0.559 0.559 0.941
Ac: 0.559 0.941 0.559
Ac: 0.559 0.941 0.941
Ac: 0.791 0.403 0.403
Ac: 0.814 0.186 0.186
Ac: 0.814 0.186 0.814
Ac: 0.814 0.814 0.186
Ac: 0.941 0.559 0.559
Ac: 0.941 0.559 0.941
Ac: 0.941 0.941 0.559
Mg: 0.173 0.173 0.173
Mg: 0.173 0.173 0.482
Mg: 0.173 0.482 0.173
Mg: 0.482 0.173 0.173
Pt: 0.179 0.607 0.607
Pt: 0.607 0.179 0.607
Pt: 0.607 0.607 0.179
Pt: 0.607 0.607 0.607



Entry 12:
AcMg2Pt6: optimized geometry, PBE.

Results
SG   No. 71
Calculated density   13.15 Mg/m³
E_form   -4.63 eV/f.u.

Cell lengths 7.723, 7.723, 7.723 Å; angles 151.30, 123.61, 64.49 degrees
Positions (direct):
Ac: 0.000 0.000 0.000
Mg: 0.369 0.869 0.500
Mg: 0.631 0.131 0.500
Pt: 0.000 0.315 0.686
Pt: 0.000 0.685 0.314
Pt: 0.325 0.500 0.825
Pt: 0.371 0.685 0.686
Pt: 0.629 0.315 0.314
Pt: 0.675 0.500 0.175



The highest calculated density belongs to which entry?
AcMg2Pt9



Look up the calculated density of the second one.
14.52 Mg/m³



Which value of calculated density does entry 2 give?
14.52 Mg/m³